(1)
SmDy5ErTh2: optimized geometry, PBE.

## Properties
As for the crystal system: tetragonal. The calculation puts the formation energy at 0.34 eV/atom. For the size of the total moment, the calculation gives 0.000 μB per atom.

Structure (extended XYZ):
```
18
Lattice="-5.791 -6.637 -0.323 6.645 -5.785 -0.261 -0.441 5.850 7.953" Properties=species:S:1:pos:R:3 pbc="T T T"
Th -0.987 -9.429 -0.446
Th 3.648 -7.624 -0.353
Sm 0.420 -6.392 3.538
Dy -3.084 -0.980 5.498
Dy 1.143 -9.382 1.687
Dy 3.064 0.458 5.577
Er 3.316 -3.073 3.700
Dy 0.427 -6.211 -0.292
Er -2.902 -3.499 3.669
Dy -0.297 -3.241 1.974
Th 1.841 -2.994 -0.138
Dy 0.000 0.000 0.000
Th -2.794 -4.799 -0.231
Dy 0.710 -3.332 5.394
Sm -0.007 -0.181 3.830
Dy -0.730 2.810 5.681
Dy 3.498 -5.592 1.870
Dy -2.651 -7.031 1.791
```

---

(2)
BeAlW2: optimized geometry, PBE.

## Properties
As for the crystal system: orthorhombic. The calculation puts the formation energy at 0.15 eV/atom. For the size of the total moment, the calculation gives 0.000 μB per atom.

Structure (extended XYZ):
```
4
Lattice="-2.406 -0.065 -1.435 1.952 -0.327 -1.984 -0.328 -7.281 0.878" Properties=species:S:1:pos:R:3 pbc="T T T"
Al -0.174 -3.872 0.467
W -0.313 -2.091 -1.481
W -0.316 -7.012 0.846
Be -0.472 -5.620 -1.055
```

---

(3)
PrZnPt: optimized geometry, PBE.

## Properties
As for the crystal system: orthorhombic. The calculation puts the formation energy at -0.86 eV/atom. For the size of the total moment, the calculation gives 0.000 μB per atom.

Structure (extended XYZ):
```
18
Lattice="-4.217 1.355 -0.265 0.828 1.040 -7.863 -1.496 -11.459 2.371" Properties=species:S:1:pos:R:3 pbc="T T T"
Pt 0.091 -1.068 -6.903
Zn -3.610 -4.668 -3.583
Pr -0.723 -3.045 -4.070
Pr -3.122 -2.651 -1.022
Zn -2.250 -0.855 -5.720
Pr -1.323 1.664 -7.593
Pt -1.532 -5.166 -2.027
Pr -1.693 -6.325 -5.401
Pt -3.111 -3.595 -6.029
Pt -2.840 -8.875 -0.181
Pt -2.310 -0.522 -3.065
Zn -5.166 -8.614 1.019
Zn -2.364 -7.868 -2.615
Zn -0.272 -1.145 -1.522
Pt -4.418 -7.296 -4.157
Pr -4.255 -6.136 -0.807
Pr 0.444 0.557 -4.215
Zn -1.575 -4.771 0.662
```

---

(4)
Ce2SeBr2: optimized geometry, PBE.

## Properties
As for the crystal system: monoclinic. For the size of the total moment, the calculation gives 0.435 μB per atom. The uncorrected formation energy comes out at -1742 meV per atom.

Structure (extended XYZ):
```
5
Lattice="4.197 0.000 0.000 -2.099 3.636 -0.031 0.000 -0.009 10.556" Properties=species:S:1:pos:R:3 pbc="T T T"
Br 0.000 1.176 1.795
Se 2.099 -0.005 5.278
Ce 2.099 2.405 3.625
Br 2.099 2.451 8.729
Ce 0.000 1.222 6.900
```

---

(5)
ZrAlAs2: optimized geometry, PBE.

## Properties
As for the crystal system: monoclinic. The calculation puts the formation energy at -0.58 eV/atom. For the size of the total moment, the calculation gives 0.000 μB per atom.

Structure (extended XYZ):
```
8
Lattice="5.374 0.000 0.002 0.000 5.314 0.000 -1.259 0.000 5.288" Properties=species:S:1:pos:R:3 pbc="T T T"
Zr 2.039 2.203 0.727
As 2.158 2.133 3.582
As 1.957 4.790 1.708
Al 4.843 3.735 1.547
As 4.773 1.129 1.218
Zr 2.076 4.860 4.563
As -0.659 3.786 4.072
Al -0.728 1.077 3.743
```

---

(6)
NaHClF: optimized geometry, PBE.

## Properties
The calculation puts the raw total energy at -0.1394 Ha/atom. As for the crystal system: triclinic. For the size of the total moment, the calculation gives 0.000 μB per atom.

Structure (extended XYZ):
```
4
Lattice="3.986 -0.024 0.372 -1.976 3.471 -0.018 0.503 -1.906 4.958" Properties=species:S:1:pos:R:3 pbc="T T T"
Na 0.369 0.375 0.075
Cl 2.225 1.447 1.834
H 1.300 0.982 3.220
F 0.866 0.762 4.132
```

---

(7)
NaBe2Hg: optimized geometry, PBE.

## Properties
As for the crystal system: tetragonal. The calculation puts the formation energy at 0.45 eV/atom. For the size of the total moment, the calculation gives 0.000 μB per atom.

Structure (extended XYZ):
```
8
Lattice="-0.048 -3.002 -3.160 3.536 1.821 -1.784 6.741 -5.655 2.264" Properties=species:S:1:pos:R:3 pbc="T T T"
Na 6.011 -2.212 -0.996
Hg 0.000 0.000 0.000
Be 2.086 -3.813 -2.422
Be 5.456 -6.641 -1.290
Be 5.480 -5.140 0.290
Be 3.854 -2.902 -3.314
Hg 4.219 -4.624 -1.684
Na 1.744 -0.591 -2.472
```

---

(8)
Tb3Ag2Ru: optimized geometry, PBE.

## Properties
As for the crystal system: tetragonal. The calculation puts the formation energy at -0.35 eV/atom. For the size of the total moment, the calculation gives 0.000 μB per atom.

Structure (extended XYZ):
```
6
Lattice="-2.807 1.912 0.887 -1.551 -0.874 -3.025 -4.514 -8.892 4.882" Properties=species:S:1:pos:R:3 pbc="T T T"
Ag -2.950 -1.001 -0.235
Tb -1.581 -3.115 1.710
Ag -5.921 -6.853 2.978
Tb -2.933 -5.777 3.172
Tb 0.000 0.000 0.000
Ru -4.436 -3.927 1.372
```

---

(9)
CeTmSi2Pt5: optimized geometry, PBE.

## Properties
As for the crystal system: tetragonal. For the size of the total moment, the calculation gives 0.055 μB per atom. The uncorrected formation energy comes out at -1027 meV per atom.

Structure (extended XYZ):
```
9
Lattice="4.226 0.000 0.000 0.000 4.226 0.000 0.000 0.000 8.949" Properties=species:S:1:pos:R:3 pbc="T T T"
Si 2.113 2.113 7.787
Tm 0.000 0.000 0.000
Si 2.113 2.113 1.163
Pt 0.000 2.113 2.332
Ce 0.000 0.000 4.475
Pt 2.113 0.000 2.332
Pt 0.000 2.113 6.618
Pt 2.113 0.000 6.618
Pt 2.113 2.113 4.475
```

---

(10)
LiTiGa: optimized geometry, PBE.

## Properties
For the energy above the most stable polymorph in this dataset, the calculation gives 388 meV/atom. As for the crystal system: cubic. The calculation puts the formation energy at 0.10 eV/atom. For the size of the total moment, the calculation gives 0.000 μB per atom.

Structure (extended XYZ):
```
3
Lattice="0.981 1.446 3.901 2.325 3.560 0.437 -1.822 3.575 1.475" Properties=species:S:1:pos:R:3 pbc="T T T"
Ti 1.114 6.436 4.360
Ga 0.000 0.000 0.000
Li 0.371 2.145 1.453
```

---

(11)
SrLiCeS3: optimized geometry, PBE.

## Properties
As for the crystal system: monoclinic. For the size of the total moment, the calculation gives 0.163 μB per atom. The uncorrected formation energy comes out at -1846 meV per atom.

Structure (extended XYZ):
```
12
Lattice="-2.616 -1.159 2.902 2.442 -8.097 -1.032 5.575 2.672 6.093" Properties=species:S:1:pos:R:3 pbc="T T T"
S 4.064 -5.441 2.922
Li 2.590 -7.174 3.762
S 0.967 -7.697 2.090
S 4.434 1.113 5.872
S 1.337 -1.143 5.041
S -0.010 -3.894 2.728
Li 2.811 0.590 4.200
Sr 1.033 -1.112 1.918
Ce 3.469 -1.381 6.867
S 5.411 -2.690 5.235
Sr 4.368 -5.472 6.045
Ce 1.933 -5.203 1.095
```

---

(12)
K2NaAu2: optimized geometry, PBE.

## Properties
For the energy above the most stable polymorph in this dataset, the calculation gives 167 meV/atom. As for the crystal system: tetragonal. The calculation puts the formation energy at -0.11 eV/atom. For the size of the total moment, the calculation gives 0.000 μB per atom.

Structure (extended XYZ):
```
5
Lattice="-4.676 -0.324 -1.889 1.720 -2.905 -3.760 -2.650 -7.336 1.060" Properties=species:S:1:pos:R:3 pbc="T T T"
Au -3.898 -7.829 -2.526
K -4.402 -4.637 -1.827
Au -1.708 -2.737 -2.063
Na 0.000 0.000 0.000
K -1.204 -5.928 -2.762
```